Nd4Zn2Ga: relaxed, PBE.

Output
The value obtained for the final energy is -3.7767 eV/atom. The calculation puts the magnetization at 0.00 μB per formula unit.

a b c (Å): 8.8355 8.8355 8.8355
angles (deg): 34.00 34.00 34.00
With the nearest neighbours (Å) after each atom.
Fractional coordinates of all 7 atoms:
1 Nd 0.1201 0.1201 0.1201  4 Zn 3.10-3.17, 3 Ga 3.20
2 Nd 0.3719 0.3719 0.3719  4 Zn 3.11-3.21, 1 Ga 3.20
3 Nd 0.6281 0.6281 0.6281  4 Zn 3.11-3.21, 1 Ga 3.20
4 Nd 0.8799 0.8799 0.8799  4 Zn 3.10-3.17, 3 Ga 3.20
5 Zn 0.2473 0.2473 0.2473  8 Nd 3.10-3.21
6 Zn 0.7527 0.7527 0.7527  8 Nd 3.10-3.21
7 Ga 0.5000 0.5000 0.5000  8 Nd 3.20

***

Pu2Tl3CuS6: relaxed, PBE.

Output
The value obtained for the final energy is -6.2356 eV/atom. As for the formation energy (no corrections): -850 meV/atom. The calculation puts the magnetization at 8.00 μB per formula unit.

a b c (Å): 7.0105 7.0105 7.7394
angles (deg): 97.54 97.54 123.63
With the nearest neighbours (Å) after each atom.
Fractional coordinates of all 12 atoms:
1 Pu 0.1643 0.8357 0.0000  6 S 2.65-2.72
2 Pu 0.8357 0.1643 0.0000  6 S 2.65-2.72
3 Tl 0.0000 0.0000 0.5000  6 S 3.30-3.48
4 Tl 0.3429 0.6571 0.5000  6 S 3.10-3.29
5 Tl 0.6571 0.3429 0.5000  6 S 3.10-3.29
6 Cu 0.5000 0.5000 0.0000  2 S 2.32
7 S 0.0691 0.4364 0.7901  2 Pu 2.65-2.71
8 S 0.2552 0.2552 0.1634  1 Cu 2.32
9 S 0.4364 0.0691 0.7901  2 Pu 2.65-2.71
10 S 0.5636 0.9309 0.2099  2 Pu 2.65-2.71
11 S 0.7448 0.7448 0.8366  1 Cu 2.32
12 S 0.9309 0.5636 0.2099  2 Pu 2.65-2.71

***

ZrCuBr: relaxed, PBE.

Output
The value obtained for the final energy is -4.4028 eV/atom. As for the formation energy (no corrections): 370 meV/atom. The calculation puts the magnetization at 0.00 μB per formula unit.

a b c (Å): 4.4578 4.4578 4.4578
angles (deg): 60.00 60.00 60.00
With the nearest neighbours (Å) after each atom.
Fractional coordinates of all 3 atoms:
1 Zr 0.0000 0.0000 0.0000  4 Br 2.73
2 Cu 0.5000 0.5000 0.5000  4 Br 2.73
3 Br 0.2500 0.2500 0.2500  4 Zr 2.73, 4 Cu 2.73

***

Tb6Si2GeS3: relaxed, PBE.

Output
The value obtained for the final energy is -6.0413 eV/atom. As for the formation energy (no corrections): -1406 meV/atom. The calculation puts the magnetization at 0.00 μB per formula unit.

a b c (Å): 9.0833 9.0833 8.1318
angles (deg): 103.63 103.63 25.78
With the nearest neighbours (Å) after each atom.
Fractional coordinates of all 12 atoms:
1 Tb 0.9999 0.9999 0.2491  1 Si 2.86, 3 S 2.87, 2 Ge 2.87
2 Tb 0.0001 0.0001 0.7509  1 Si 2.86, 3 S 2.87, 2 Ge 2.87
3 Tb 0.3326 0.3326 0.4149  3 S 2.85-2.88, 2 Si 2.86, 1 Ge 2.88
4 Tb 0.3330 0.3330 0.9180  3 Si 2.86, 3 S 2.87-2.88
5 Tb 0.6670 0.6670 0.0820  3 Si 2.86, 3 S 2.87-2.88
6 Tb 0.6674 0.6674 0.5851  3 S 2.85-2.88, 2 Si 2.86, 1 Ge 2.88
7 Si 0.1666 0.1666 0.8332  6 Tb 2.86
8 Si 0.8334 0.8334 0.1668  6 Tb 2.86
9 Ge 0.5000 0.5000 0.5000  6 Tb 2.87-2.88
10 S 0.1666 0.1666 0.3332  6 Tb 2.85-2.88
11 S 0.5000 0.5000 0.0000  6 Tb 2.87
12 S 0.8334 0.8334 0.6668  6 Tb 2.85-2.88

***

Li2PBr: relaxed, PBE.

Output
The value obtained for the final energy is -3.0749 eV/atom. As for the formation energy (no corrections): -347 meV/atom. The calculation puts the magnetization at 0.00 μB per formula unit.

a b c (Å): 4.8725 4.8725 4.8725
angles (deg): 127.14 127.14 78.03
With the nearest neighbours (Å) after each atom.
Fractional coordinates of all 4 atoms:
1 Li 0.2500 0.7500 0.5000  4 Br 2.88, 4 P 2.88, 4 Li 3.07
2 Li 0.7500 0.2500 0.5000  4 Br 2.88, 4 P 2.88, 4 Li 3.07
3 P 0.0000 0.0000 0.0000  8 Li 2.88, 4 Br 3.07
4 Br 0.5000 0.5000 0.0000  8 Li 2.88, 4 P 3.07

***

LaMo2Os: relaxed, PBE.

Output
The value obtained for the final energy is -8.9581 eV/atom. The calculation puts the magnetization at 0.00 μB per formula unit.

a b c (Å): 2.9110 4.3415 6.1193
angles (deg): 90.00 97.47 90.00
With the nearest neighbours (Å) after each atom.
Fractional coordinates of all 4 atoms:
1 La 0.0000 0.0000 0.0000  2 La 2.91, 4 Mo 2.99, 2 Os 3.21
2 Mo 0.1938 0.5000 0.6894  1 Mo 2.44, 2 Os 2.67
3 Mo 0.8062 0.5000 0.3106  1 Mo 2.44, 2 Os 2.67
4 Os 0.5000 0.0000 0.5000  4 Mo 2.67, 2 Os 2.91

***

Na3CaAl: relaxed, PBE.

Output
The value obtained for the final energy is -1.0713 eV/atom. The calculation puts the magnetization at 0.00 μB per formula unit.

a b c (Å): 6.3010 6.3010 6.3010
angles (deg): 90.00 90.00 90.00
With the nearest neighbours (Å) after each atom.
Fractional coordinates of all 5 atoms:
1 Na 0.0000 0.0000 0.5000  2 Ca 3.15
2 Na 0.0000 0.5000 0.0000  2 Ca 3.15
3 Na 0.5000 0.0000 0.0000  2 Ca 3.15
4 Ca 0.0000 0.0000 0.0000  6 Na 3.15
5 Al 0.5000 0.5000 0.5000  12 Na 4.46

***

Question: Among the records above, which one has the lowest final energy?
Answer: LaMo2Os